K2ScZn: optimized geometry, PBE.

## Properties
**Formation energy**: 0.573 eV per atom
**Mass density**: 2174 kg/m3
**DFT total energy**: -1.877 eV/atom

Cell lengths 6.785, 11.954, 3.551 Å; angles 90.00, 90.00, 90.00 degrees
Space group Cmmm (No. 65)
Symmetry-distinct sites (fractional):
K  0.250  0.250  0.000 [4 per cell]
Sc  0.000  0.000  0.500 [2 per cell]
Zn  0.000  0.500  0.500 [2 per cell]

=====

KScZn3: optimized geometry, PBE.

## Properties
**Formation energy**: 1.053 eV per atom
**Mass density**: 3107 kg/m3
**DFT total energy**: -1.197 eV/atom
**Polymorph energy (0 for the lowest one)**: 649.9 meV per atom

Cell lengths 5.311, 5.311, 5.311 Å; angles 90.00, 90.00, 90.00 degrees
Space group Pm-3m (No. 221)
Symmetry-distinct sites (fractional):
K  0.000  0.000  0.000 [1 per cell]
Sc  0.500  0.500  0.500 [1 per cell]
Zn  0.000  0.000  0.500 [3 per cell]

=====

KSc2Zn: optimized geometry, PBE.

## Properties
**Formation energy**: 0.288 eV per atom
**Mass density**: 2940 kg/m3
**DFT total energy**: -3.470 eV/atom

Cell lengths 13.100, 3.223, 5.791 Å; angles 90.00, 116.10, 90.00 degrees
Space group C2/m (No. 12)
Symmetry-distinct sites (fractional):
K  0.000  0.000  0.000 [2 per cell]
Sc  0.204  0.000  0.704 [4 per cell]
Zn  0.000  0.500  0.500 [2 per cell]

=====

K2ScZn: optimized geometry, PBE.

## Properties
**Formation energy**: 0.566 eV per atom
**Mass density**: 1677 kg/m3
**DFT total energy**: -1.884 eV/atom

Cell lengths 11.742, 11.742, 5.416 Å; angles 90.00, 90.00, 90.00 degrees
Space group I-42d (No. 122)
Symmetry-distinct sites (fractional):
K  0.123  0.250  0.125 [8 per cell]
Sc  0.000  0.000  0.500 [4 per cell]
Zn  0.000  0.000  0.000 [4 per cell]

=====

KSc2Zn: optimized geometry, PBE.

## Properties
**Formation energy**: 0.139 eV per atom
**Mass density**: 2795 kg/m3
**DFT total energy**: -3.620 eV/atom

Cell lengths 3.552, 3.556, 9.147 Å; angles 90.00, 90.07, 90.00 degrees
Space group Pm (No. 6)
Symmetry-distinct sites (fractional):
K  0.000  0.000  0.000 [1 per cell]
Sc  0.001  0.000  0.577 [1 per cell]
Sc  0.500  0.500  0.367 [1 per cell]
Zn  0.501  0.500  0.714 [1 per cell]

=====

K2ZrSc: optimized geometry, PBE.

## Properties
**Formation energy**: 0.910 eV per atom
**Mass density**: 2571 kg/m3
**DFT total energy**: -3.359 eV/atom
**Polymorph energy (0 for the lowest one)**: 498.3 meV per atom

Cell lengths 6.396, 13.592, 3.186 Å; angles 90.00, 90.00, 90.00 degrees
Space group Cmmm (No. 65)
Symmetry-distinct sites (fractional):
K  0.250  0.250  0.000 [4 per cell]
Zr  0.000  0.000  0.500 [2 per cell]
Sc  0.000  0.500  0.500 [2 per cell]

=====

KZrSc: optimized geometry, PBE.

## Properties
**Formation energy**: 0.433 eV per atom
**Mass density**: 3205 kg/m3
**DFT total energy**: -4.893 eV/atom
**Polymorph energy (0 for the lowest one)**: 133.4 meV per atom

Cell lengths 5.767, 3.337, 9.616 Å; angles 90.00, 101.01, 90.00 degrees
Space group Cm (No. 8)
Symmetry-distinct sites (fractional):
K  0.000  0.000  0.000 [2 per cell]
Zr  0.220  0.000  0.632 [2 per cell]
Sc  0.473  0.000  0.378 [2 per cell]

=====

K2ZrSc: optimized geometry, PBE.

## Properties
**Formation energy**: 1.216 eV per atom
**Mass density**: 2416 kg/m3
**DFT total energy**: -3.053 eV/atom
**Polymorph energy (0 for the lowest one)**: 804.6 meV per atom

Cell lengths 6.860, 6.860, 3.130 Å; angles 90.00, 90.00, 90.00 degrees
Space group P4/mmm (No. 123)
Symmetry-distinct sites (fractional):
K  0.000  0.500  0.000 [2 per cell]
Zr  0.000  0.000  0.500 [1 per cell]
Sc  0.500  0.500  0.500 [1 per cell]

=====

Please write out number 7 again, unchanged.
KZrSc: optimized geometry, PBE.

## Properties
**Formation energy**: 0.433 eV per atom
**Mass density**: 3205 kg/m3
**DFT total energy**: -4.893 eV/atom
**Polymorph energy (0 for the lowest one)**: 133.4 meV per atom

Cell lengths 5.767, 3.337, 9.616 Å; angles 90.00, 101.01, 90.00 degrees
Space group Cm (No. 8)
Symmetry-distinct sites (fractional):
K  0.000  0.000  0.000 [2 per cell]
Zr  0.220  0.000  0.632 [2 per cell]
Sc  0.473  0.000  0.378 [2 per cell]

=====

Copy entry 2 word for word.
KScZn3: optimized geometry, PBE.

## Properties
**Formation energy**: 1.053 eV per atom
**Mass density**: 3107 kg/m3
**DFT total energy**: -1.197 eV/atom
**Polymorph energy (0 for the lowest one)**: 649.9 meV per atom

Cell lengths 5.311, 5.311, 5.311 Å; angles 90.00, 90.00, 90.00 degrees
Space group Pm-3m (No. 221)
Symmetry-distinct sites (fractional):
K  0.000  0.000  0.000 [1 per cell]
Sc  0.500  0.500  0.500 [1 per cell]
Zn  0.000  0.000  0.500 [3 per cell]